Entry from the Alexandria database: an optimized crystal structure of PuZnRh (PBE).

Summary:
SG = F-43m
Calculated formation energy = -0.200 eV/atom
DOS at the Fermi energy = 3.148 states/eV/atom
Size of the total moment = 5.376 μB per formula unit

a b c (Å): 4.5303 4.5303 4.5303
angles (deg): 60.00 60.00 60.00
Last column: nearest neighbours and their distance in Å.
Fractional coordinates of all 3 atoms:
Pu 0.0000 0.0000 0.0000  4 Rh 2.77
Zn 0.5000 0.5000 0.5000  4 Rh 2.77
Rh 0.2500 0.2500 0.2500  4 Zn 2.77, 4 Pu 2.77

---

Entry from the Alexandria database: an optimized crystal structure of K2TcBr (PBE).

Summary:
SG = Pm
Formation energy (no corrections) = 0.453 eV per atom
DOS at the Fermi energy = 1.018 states/eV/atom
Size of the total moment = 3.556 μB per formula unit

a b c (Å): 3.5703 6.1860 6.0024
angles (deg): 90.00 90.61 90.00
Last column: nearest neighbours and their distance in Å.
Fractional coordinates of all 4 atoms:
K 0.0000 0.0000 0.0000  4 Tc 3.47-3.51, 4 Br 3.57, 2 K 3.57
K 0.0004 0.5000 0.4980  4 Br 3.48-3.51, 2 K 3.57, 4 Tc 3.57
Tc 0.5004 0.0000 0.5004  8 K 3.47-3.57, 2 Tc 3.57
Br 0.5011 0.5000 0.9979  8 K 3.48-3.57, 2 Br 3.57

---

Entry from the Alexandria database: an optimized crystal structure of Ti4CoRe3 (PBE).

Summary:
SG = P4/mmm
Calculated formation energy = -0.412 eV/atom
DOS at the Fermi energy = 0.774 states/eV/atom
Size of the total moment = 0.237 μB per formula unit

a b c (Å): 3.0924 3.0924 12.3287
angles (deg): 90.00 90.00 90.00
Last column: nearest neighbours and their distance in Å.
Fractional coordinates of all 8 atoms:
Ti 0.0000 0.0000 0.1204  4 Co 2.64, 4 Re 2.66
Ti 0.0000 0.0000 0.3719  8 Re 2.70
Ti 0.0000 0.0000 0.6281  8 Re 2.70
Ti 0.0000 0.0000 0.8796  4 Co 2.64, 4 Re 2.66
Co 0.5000 0.5000 0.0000  8 Ti 2.64
Re 0.5000 0.5000 0.2436  8 Ti 2.66-2.70
Re 0.5000 0.5000 0.5000  8 Ti 2.70
Re 0.5000 0.5000 0.7564  8 Ti 2.66-2.70

---

Entry from the Alexandria database: an optimized crystal structure of Ac2InCu2 (PBE).

Summary:
SG = P4/mbm
Calculated formation energy = -0.284 eV/atom
DOS at the Fermi energy = 0.867 states/eV/atom
Size of the total moment = 0.000 μB per formula unit

a b c (Å): 8.0927 8.0927 4.1350
angles (deg): 90.00 90.00 90.00
Last column: nearest neighbours and their distance in Å.
Fractional coordinates of all 10 atoms:
Ac 0.1810 0.3190 0.0000  6 Cu 3.14-3.20
Ac 0.3190 0.8190 0.0000  6 Cu 3.14-3.20
Ac 0.6810 0.1810 0.0000  6 Cu 3.14-3.20
Ac 0.8190 0.6810 0.0000  6 Cu 3.14-3.20
In 0.0000 0.0000 0.5000  4 Cu 3.26, 8 Ac 3.62
In 0.5000 0.5000 0.5000  4 Cu 3.26, 8 Ac 3.62
Cu 0.1127 0.6127 0.5000  1 Cu 2.58
Cu 0.3873 0.1127 0.5000  1 Cu 2.58
Cu 0.6127 0.8873 0.5000  1 Cu 2.58
Cu 0.8873 0.3873 0.5000  1 Cu 2.58